# PrErSe2Cl

An optimized crystal structure of PrErSe2Cl (PBE, Alexandria via LeMat-Bulk).

Calculated values
Formation energy from raw total energies (kJ/mol of formula units): -897
Total magnetization (μB/atom): 0.001
Symmetry: P4/nmm, No. 129

Structure (POSCAR):
```
PrErSe2Cl
1.0
4.174 0.000 0.000
0.000 4.174 0.000
0.000 0.000 14.117
Pr Er Se Cl
2 2 4 2
Direct
0.250 0.250 0.148
0.750 0.750 0.852
0.250 0.250 0.589
0.750 0.750 0.411
0.250 0.250 0.386
0.250 0.250 0.792
0.750 0.750 0.208
0.750 0.750 0.614
0.250 0.750 0.000
0.750 0.250 0.000
```



# Er2PtCl

An optimized crystal structure of Er2PtCl (PBE, Alexandria via LeMat-Bulk).

Calculated values
Formation energy from raw total energies (kJ/mol of formula units): -532
Distance to the lowest polymorph of the same formula (eV/f.u.): 0.00
Total magnetization (μB/atom): 0.000
Symmetry: R-3m, No. 166

Structure (POSCAR):
```
Er2PtCl
1.0
2.103 1.214 8.033
-2.103 1.214 8.033
0.000 -2.428 8.033
Er Pt Cl
2 1 1
Direct
0.110 0.110 0.110
0.890 0.890 0.890
0.500 0.500 0.500
0.000 0.000 0.000
```



# Er2PtCl

An optimized crystal structure of Er2PtCl (PBE, Alexandria via LeMat-Bulk).

Calculated values
Formation energy from raw total energies (kJ/mol of formula units): -508
Distance to the lowest polymorph of the same formula (eV/f.u.): 0.25
Total magnetization (μB/atom): 0.000
Symmetry: R3m, No. 160

Structure (POSCAR):
```
Er2PtCl
1.0
2.012 1.162 7.517
-2.012 1.162 7.517
0.000 -2.323 7.517
Er Pt Cl
2 1 1
Direct
0.000 0.000 0.000
0.202 0.202 0.202
0.600 0.600 0.600
0.426 0.426 0.426
```



# ErPuCl6

An optimized crystal structure of ErPuCl6 (PBE, Alexandria via LeMat-Bulk).

Calculated values
Formation energy from raw total energies (kJ/mol of formula units): -1586
Distance to the lowest polymorph of the same formula (eV/f.u.): 0.06
Total magnetization (μB/atom): 0.625
Symmetry: R-3, No. 148

Structure (POSCAR):
```
ErPuCl6
1.0
3.366 1.943 6.266
-3.366 1.943 6.266
0.000 -3.886 6.266
Er Pu Cl
1 1 6
Direct
0.000 0.000 0.000
0.500 0.500 0.500
0.098 0.391 0.753
0.247 0.902 0.609
0.391 0.753 0.098
0.609 0.247 0.902
0.753 0.098 0.391
0.902 0.609 0.247
```



# ErPuCl6

An optimized crystal structure of ErPuCl6 (PBE, Alexandria via LeMat-Bulk).

Calculated values
Formation energy from raw total energies (kJ/mol of formula units): -1593
Distance to the lowest polymorph of the same formula (eV/f.u.): 0.00
Total magnetization (μB/atom): 0.625
Symmetry: C2/m, No. 12

Structure (POSCAR):
```
ErPuCl6
1.0
3.375 -6.196 0.000
3.375 6.196 0.000
-1.809 0.000 6.429
Er Pu Cl
1 1 6
Direct
0.000 0.000 0.000
0.500 0.500 0.500
0.097 0.381 0.244
0.247 0.247 0.757
0.381 0.097 0.244
0.619 0.903 0.756
0.753 0.753 0.243
0.903 0.619 0.756
```



# RbErPuCl6

An optimized crystal structure of RbErPuCl6 (PBE, Alexandria via LeMat-Bulk).

Calculated values
Formation energy from raw total energies (kJ/mol of formula units): -1792
Total magnetization (μB/atom): 0.667
Symmetry: P-31c, No. 163

Structure (POSCAR):
```
RbErPuCl6
1.0
7.184 0.000 0.000
-3.592 6.221 0.000
0.000 0.000 14.359
Rb Er Pu Cl
2 2 2 12
Direct
0.000 0.000 0.000
0.000 0.000 0.500
0.333 0.667 0.250
0.667 0.333 0.750
0.333 0.667 0.750
0.667 0.333 0.250
0.021 0.381 0.143
0.021 0.640 0.357
0.360 0.381 0.357
0.360 0.979 0.143
0.381 0.021 0.643
0.381 0.360 0.857
0.619 0.640 0.143
0.619 0.979 0.357
0.640 0.021 0.857
0.640 0.619 0.643
0.979 0.360 0.643
0.979 0.619 0.857
```



# ErPuTe2Cl

An optimized crystal structure of ErPuTe2Cl (PBE, Alexandria via LeMat-Bulk).

Calculated values
Formation energy from raw total energies (kJ/mol of formula units): -665
Total magnetization (μB/atom): 1.101
Symmetry: P4/nmm, No. 129

Structure (POSCAR):
```
ErPuTe2Cl
1.0
4.368 0.000 0.000
0.000 4.368 0.000
0.000 0.000 15.079
Er Pu Te Cl
2 2 4 2
Direct
0.250 0.250 0.095
0.750 0.750 0.905
0.250 0.250 0.628
0.750 0.750 0.372
0.250 0.250 0.295
0.250 0.250 0.889
0.750 0.750 0.111
0.750 0.750 0.705
0.250 0.750 0.500
0.750 0.250 0.500
```



# Rb4ErCl7

An optimized crystal structure of Rb4ErCl7 (PBE, Alexandria via LeMat-Bulk).

Calculated values
Formation energy from raw total energies (kJ/mol of formula units): -2390
Total magnetization (μB/atom): 0.028
Symmetry: C2/m, No. 12

Structure (POSCAR):
```
Rb4ErCl7
1.0
8.334 -2.645 0.000
8.334 2.645 0.000
-2.666 0.000 10.830
Rb Er Cl
4 1 7
Direct
0.010 0.010 0.200
0.253 0.253 0.819
0.747 0.747 0.181
0.990 0.990 0.800
0.500 0.500 0.500
0.000 0.000 0.500
0.146 0.146 0.038
0.386 0.386 0.294
0.393 0.393 0.637
0.607 0.607 0.363
0.614 0.614 0.706
0.854 0.854 0.962
```



> Among the records above, which one has the highest formation energy from raw total energies?

number 3



> formation energy from raw total energies of number 2 (Er2PtCl)?

-532 kJ/mol of formula units



> formation energy from raw total energies of number 4 (ErPuCl6)?

-1586 kJ/mol of formula units



> The highest total magnetization belongs to which entry?

ErPuTe2Cl